The following is a DFT calculation (PBE-GGA) of a relaxed SnSb2Te2 crystal.

spin magnetization: 0.000 μB/cell
DOS at the Fermi energy: 0.4728 states/eV per atom
E_form (uncorrected): 0.140 eV/atom
ΔE to the lowest computed polymorph: 25 kJ/mol of formula units

Unit cell a=4.2636 b=4.2636 c=17.3885 alpha=90.00 beta=90.00 gamma=90.00
With the nearest neighbours (Å) after each atom.
Space group I4/mmm (No. 139)
Inequivalent atoms, fractional coordinates:
Sn1 0.0000 0.0000 0.0000 x2  8 Te 3.40
Sb1 0.0000 0.5000 0.2500 x4  4 Sb 3.01
Te1 0.0000 0.0000 0.4096 x4  1 Te 3.14, 4 Sn 3.40, 4 Sb 3.50